Record 1
PBE Nd8P3SeBr4, optimized geometry; uncorrected formation energy = -1501 meV per atom; spin magnetization = 0.000 μB per cell
1.0
-1.212 7.780 -2.936
-7.705 0.342 4.089
6.883 -1.774 4.483
Nd Br P Se
8 4 3 1
Cartesian
0.914 0.409 6.476
-2.389 1.260 4.325
0.355 5.089 1.311
-2.367 2.206 0.569
-3.075 5.120 2.809
1.041 1.229 2.827
-2.949 5.940 -0.841
0.332 4.142 5.067
0.000 0.000 0.000
-0.606 3.890 -1.468
2.835 3.003 0.773
3.442 -0.887 2.242
-4.459 4.061 0.576
-0.411 -0.716 4.286
-1.017 3.174 2.818
-3.853 0.171 2.044

***

Record 2
PBE Nd8SiP3Br4, optimized geometry; uncorrected formation energy = -1403 meV per atom; spin magnetization = 0.000 μB per cell
1.0
8.391 0.000 0.000
0.000 8.779 0.270
-4.196 -4.195 5.935
Nd Br P Si
8 4 3 1
Cartesian
0.000 4.192 2.993
4.196 4.189 2.963
4.196 0.392 3.213
6.269 2.466 0.272
2.074 2.118 5.933
0.000 0.395 3.243
2.122 2.466 0.272
-2.074 2.118 5.933
2.098 -2.097 2.968
0.000 0.000 0.000
-2.098 -2.097 2.968
4.196 0.000 0.000
4.196 4.389 0.135
2.098 2.292 3.103
-2.098 2.292 3.103
0.000 4.389 0.135

***

Record 3
PBE Nd8Si3PBr4, optimized geometry; uncorrected formation energy = -1189 meV per atom; spin magnetization = 0.000 μB per cell
1.0
8.472 0.000 0.000
0.000 8.860 0.271
-4.236 -4.234 5.992
Br Nd Si P
4 8 3 1
Cartesian
4.236 0.000 0.000
0.000 0.000 0.000
-2.118 -2.117 2.996
2.118 -2.117 2.996
2.103 2.485 0.248
4.236 4.287 3.029
0.000 0.339 3.234
-2.133 2.141 6.015
4.236 0.353 3.265
0.000 4.273 2.998
6.369 2.485 0.248
2.133 2.141 6.015
4.236 4.430 0.136
2.118 2.313 3.131
-2.118 2.313 3.131
0.000 4.430 0.136

***

Record 4
PBE Nd4SiPBr2, optimized geometry; uncorrected formation energy = -1298 meV per atom; spin magnetization = 0.000 μB per cell
1.0
4.215 0.000 0.000
0.000 7.285 0.123
0.000 -2.559 7.328
Nd Br P Si
4 2 1 1
Cartesian
2.108 1.209 1.545
2.108 3.517 5.907
0.000 -0.082 5.872
0.000 4.808 1.580
0.000 2.363 3.726
2.108 -1.280 3.664
2.108 3.642 0.062
0.000 0.000 0.000

***

Record 5
PBE NdSmPBr, optimized geometry; uncorrected formation energy = -1489 meV per atom; spin magnetization = 0.000 μB per cell
1.0
-2.564 1.436 2.834
0.878 -3.986 -0.127
7.142 1.486 2.769
P Nd Br Sm
1 1 1 1
Cartesian
5.948 -0.457 3.229
3.588 1.115 3.238
0.432 0.405 3.682
1.066 -3.533 0.370

***

Record 6
PBE Nd3TePBr, optimized geometry; uncorrected formation energy = -1331 meV per atom; spin magnetization = 1.929 μB per cell
1.0
4.197 0.000 0.000
0.000 8.805 1.404
0.000 -2.024 10.209
Nd P Te Br
6 2 2 2
Cartesian
1.049 4.815 5.076
1.049 -0.448 9.080
3.148 1.966 6.536
1.049 3.558 9.648
3.148 7.229 2.532
3.148 3.223 1.964
1.049 5.230 2.289
3.148 1.551 9.323
1.049 0.769 1.948
3.148 6.011 9.664
3.148 6.830 5.508
1.049 -0.049 6.104

***

Record 7
PBE Nd6TeP2Br3, optimized geometry; uncorrected formation energy = -1404 meV per atom; spin magnetization = 0.000 μB per cell
1.0
-0.986 -3.967 0.904
8.652 -1.946 0.893
-1.927 4.586 8.330
Nd Br Te P
6 3 1 2
Cartesian
2.261 0.825 6.085
3.477 -2.152 4.042
2.138 -0.389 0.626
5.939 0.033 6.618
-0.200 -1.359 3.509
3.601 -0.938 9.502
3.833 -2.956 0.899
6.452 -0.778 3.622
-0.713 -0.549 6.505
-0.493 -1.983 0.452
3.620 -1.563 6.781
2.119 0.236 3.346

***

Record 8
PBE Nd8Te4P3Br, optimized geometry; uncorrected formation energy = -1512 meV per atom; spin magnetization = 0.000 μB per cell
1.0
8.587 0.000 0.000
0.000 8.814 0.155
-4.294 -4.290 6.075
Nd P Te Br
8 3 4 1
Cartesian
2.270 2.364 0.239
-2.023 2.160 5.990
2.023 2.160 5.990
4.294 0.343 3.102
0.000 0.287 3.237
6.317 2.364 0.239
0.000 4.182 3.128
4.294 4.237 2.992
4.294 4.407 0.077
2.147 2.262 3.115
-2.147 2.262 3.115
2.147 -2.145 3.037
4.294 0.000 0.000
-2.147 -2.145 3.037
0.000 0.000 0.000
0.000 4.407 0.077

***

Record 9
PBE Nd6TlP2Br3, optimized geometry; uncorrected formation energy = -1227 meV per atom; spin magnetization = 0.000 μB per cell
1.0
4.173 0.000 0.000
0.000 8.964 0.199
-2.086 -2.706 9.228
Br Nd Tl P
3 6 1 2
Cartesian
0.000 6.594 3.225
2.086 -0.336 6.202
2.086 4.482 0.099
0.000 2.250 0.374
2.086 4.091 3.391
0.000 6.006 6.319
0.000 2.167 6.036
2.086 4.008 9.053
2.086 0.252 3.107
2.086 0.000 0.000
2.086 4.095 6.224
0.000 2.163 3.203

***

Record 10
PBE Nd6ZnP2Br3, optimized geometry; uncorrected formation energy = -1225 meV per atom; spin magnetization = 0.000 μB per cell
1.0
-1.745 -2.978 2.270
7.674 -1.214 4.307
-4.025 8.068 3.730
Nd P Br Zn
6 2 3 1
Cartesian
3.508 3.390 7.143
1.647 0.169 5.247
1.723 -0.157 1.119
0.257 3.707 5.060
-1.604 0.486 3.164
0.180 4.033 9.188
0.995 2.073 7.244
0.908 1.803 3.064
2.964 -2.096 3.289
-2.824 2.688 5.113
4.728 1.189 5.194
-0.873 -1.489 1.135

***

Record 11
PBE Nd4ZnPBr2, optimized geometry; uncorrected formation energy = -1089 meV per atom; spin magnetization = 0.000 μB per cell
1.0
4.130 0.000 0.000
0.000 7.361 0.172
0.000 -2.536 7.320
Nd Zn Br P
4 1 2 1
Cartesian
2.065 3.571 5.851
0.000 -0.004 5.829
0.000 4.829 1.663
2.065 1.254 1.641
0.000 0.000 0.000
2.065 -1.268 3.660
0.000 2.413 3.746
2.065 3.681 0.086

***

Record 12
PBE NdPaBr, optimized geometry; uncorrected formation energy = -590 meV per atom; spin magnetization = 0.000 μB per cell
1.0
-1.309 4.651 -2.003
-9.420 -5.194 -5.904
-3.631 0.923 4.516
Pa Br Nd
4 4 4
Cartesian
-2.476 3.728 0.098
-4.304 4.235 2.337
-10.055 -3.855 -5.728
-11.883 -3.348 -3.489
-9.296 -0.299 -1.396
-6.836 -3.051 -2.668
-7.524 3.431 -0.723
-5.064 0.679 -1.995
-3.252 -0.983 -0.262
-5.702 1.733 1.025
-11.108 1.363 -3.129
-8.658 -1.353 -4.416

***

Record 13
PBE NdPaBr2, optimized geometry; uncorrected formation energy = -732 meV per atom; spin magnetization = 1.331 μB per cell
1.0
-0.474 3.413 -0.807
-1.444 2.195 2.371
8.829 4.067 4.253
Br Nd Pa
2 1 1
Cartesian
6.128 3.440 3.189
0.783 6.235 2.628
3.456 4.837 2.908
0.000 0.000 0.000

***

Record 14
PBE Nd4Pb2Br3, optimized geometry; uncorrected formation energy = -1094 meV per atom; spin magnetization = 0.000 μB per cell
1.0
4.516 0.000 0.004
-2.258 3.911 -0.004
-0.004 0.002 17.612
Br Nd Pb
3 4 2
Cartesian
0.002 2.606 10.592
0.000 0.000 0.000
2.252 1.307 7.020
-0.003 2.609 15.816
-2.258 3.911 12.261
4.512 0.002 5.351
2.257 1.304 1.796
-0.002 2.609 3.546
2.256 1.305 14.066

***

Record 15
PBE Nd2PbBr, optimized geometry; uncorrected formation energy = -789 meV per atom; spin magnetization = 0.000 μB per cell; excess energy over the best structure of this formula in the dataset = 88 meV/atom
1.0
-4.101 -1.071 -3.489
-2.665 -4.791 0.283
-5.179 -0.157 1.816
Nd Pb Br
2 1 1
Cartesian
-8.958 -4.514 -1.043
-2.986 -1.505 -0.348
-5.972 -3.010 -0.695
0.000 0.000 0.000

***

Record 16
PBE Nd2PbBr, optimized geometry; uncorrected formation energy = -799 meV per atom; spin magnetization = 0.000 μB per cell; excess energy over the best structure of this formula in the dataset = 77 meV/atom
1.0
-3.370 -1.089 -0.839
1.296 -1.779 -2.898
1.068 -6.973 4.759
Nd Pb Br
2 1 1
Cartesian
0.797 -5.202 3.550
0.271 -1.771 1.209
-1.037 -1.434 -1.869
-0.503 -4.921 0.511

***

Record 17
PBE Nd4PbBr5, optimized geometry; uncorrected formation energy = -1357 meV per atom; spin magnetization = 0.001 μB per cell
1.0
4.118 0.000 -0.968
-0.518 8.743 -2.202
0.040 0.724 9.414
Nd Br Pb
4 5 1
Cartesian
3.753 7.314 6.724
-0.113 2.153 -0.479
2.744 0.794 2.429
0.897 8.673 3.815
1.800 4.371 -1.585
3.093 6.530 3.917
3.366 2.154 5.076
0.547 2.937 2.328
0.275 7.313 1.169
2.059 0.000 -0.484

***

Record 18
PBE Nd2PbBr, optimized geometry; uncorrected formation energy = -802 meV per atom; spin magnetization = 0.001 μB per cell; excess energy over the best structure of this formula in the dataset = 74 meV/atom
1.0
4.447 0.000 0.000
2.223 3.851 0.000
2.223 1.284 7.731
Pb Nd Br
1 2 1
Cartesian
6.670 3.851 7.695
2.223 1.284 1.751
2.223 1.284 5.957
4.447 2.567 3.923

***

Record 19
PBE Nd2PbBr, optimized geometry; uncorrected formation energy = -876 meV per atom; spin magnetization = 0.000 μB per cell; excess energy over the best structure of this formula in the dataset = 0 meV/atom
1.0
4.600 0.000 0.000
2.300 3.984 0.000
2.300 1.328 6.914
Br Nd Pb
1 2 1
Cartesian
0.000 0.000 0.000
2.300 1.328 1.762
6.901 3.984 5.152
4.600 2.656 3.457

***

Record 20
PBE PmNdPbBr, optimized geometry; uncorrected formation energy = -779 meV per atom; spin magnetization = 0.000 μB per cell
1.0
-2.501 4.670 -1.378
-4.357 1.712 2.837
0.402 4.384 3.253
Br Pb Nd Pm
1 1 1 1
Cartesian
-3.228 5.382 2.356
0.000 0.000 0.000
-1.614 2.691 1.178
-4.842 8.074 3.534